a) VASP calculation (PBE-GGA) on MgPdSO after structural relaxation.

Calculated values
crystal system: orthorhombic

Unit cell a=7.509 b=7.509 c=5.294 alpha=90.00 beta=90.00 gamma=157.95
Sites, in units of the cell vectors:
Mg 0.025 0.975 0.750
Mg 0.975 0.025 0.250
Pd 0.329 0.671 0.750
Pd 0.671 0.329 0.250
S 0.302 0.698 0.250
S 0.698 0.302 0.750
O 0.500 0.500 0.000
O 0.500 0.500 0.500


b) VASP calculation (PBE-GGA) on MgPdSO after structural relaxation.

Calculated values
crystal system: hexagonal

Unit cell a=3.358 b=3.358 c=12.650 alpha=90.00 beta=90.00 gamma=120.00
Sites, in units of the cell vectors:
Mg 0.333 0.667 0.000
Mg 0.667 0.333 0.500
Pd 0.000 0.000 0.291
Pd 0.000 0.000 0.791
S 0.333 0.667 0.692
S 0.667 0.333 0.192
O 0.000 0.000 0.474
O 0.000 0.000 0.974


Most stable = b)


a) VASP calculation (PBE-GGA) on MgPdSeO after structural relaxation.

Calculated values
crystal system: orthorhombic

Unit cell a=6.215 b=7.893 c=5.578 alpha=90.00 beta=90.00 gamma=90.00
Sites, in units of the cell vectors:
Mg 0.088 0.165 0.000
Mg 0.412 0.165 0.500
Mg 0.588 0.835 0.000
Mg 0.912 0.835 0.500
Pd 0.249 0.612 0.757
Pd 0.251 0.612 0.257
Pd 0.749 0.388 0.757
Pd 0.751 0.388 0.257
Se 0.009 0.838 0.002
Se 0.491 0.838 0.502
Se 0.509 0.162 0.002
Se 0.991 0.162 0.502
O 0.015 0.603 0.506
O 0.485 0.603 0.006
O 0.515 0.397 0.506
O 0.985 0.397 0.006


b) VASP calculation (PBE-GGA) on MgPdSeO after structural relaxation.

Calculated values
crystal system: orthorhombic

Unit cell a=6.260 b=6.260 c=6.199 alpha=90.00 beta=90.00 gamma=147.23
Sites, in units of the cell vectors:
Mg 0.062 0.938 0.500
Mg 0.938 0.062 0.000
Pd 0.324 0.676 0.672
Pd 0.676 0.324 0.172
Se 0.317 0.683 0.236
Se 0.683 0.317 0.736
O 0.062 0.938 0.191
O 0.938 0.062 0.691


c) VASP calculation (PBE-GGA) on MgPdSeO after structural relaxation.

Calculated values
crystal system: orthorhombic

Unit cell a=5.577 b=8.412 c=5.473 alpha=90.00 beta=90.00 gamma=90.00
Sites, in units of the cell vectors:
Mg 0.119 0.080 0.000
Mg 0.381 0.080 0.500
Mg 0.619 0.920 0.000
Mg 0.881 0.920 0.500
Pd 0.011 0.343 0.647
Pd 0.489 0.343 0.147
Pd 0.511 0.657 0.647
Pd 0.989 0.657 0.147
Se 0.021 0.636 0.661
Se 0.479 0.636 0.161
Se 0.521 0.364 0.661
Se 0.979 0.364 0.161
O 0.070 0.083 0.653
O 0.430 0.083 0.153
O 0.570 0.917 0.653
O 0.930 0.917 0.153


Most stable = c)


a) VASP calculation (PBE-GGA) on MgPdSeO after structural relaxation.

Calculated values
crystal system: tetragonal

Unit cell a=4.134 b=4.134 c=7.730 alpha=90.00 beta=90.00 gamma=90.00
Sites, in units of the cell vectors:
Mg 0.250 0.750 0.000
Mg 0.750 0.250 0.000
Pd 0.250 0.250 0.222
Pd 0.750 0.750 0.778
Se 0.250 0.250 0.719
Se 0.750 0.750 0.281
O 0.250 0.250 0.500
O 0.750 0.750 0.500


b) VASP calculation (PBE-GGA) on MgPdSeO after structural relaxation.

Calculated values
crystal system: tetragonal

Unit cell a=3.575 b=3.575 c=10.056 alpha=90.00 beta=90.00 gamma=90.00
Sites, in units of the cell vectors:
Mg 0.250 0.250 0.106
Mg 0.750 0.750 0.894
Pd 0.250 0.250 0.706
Pd 0.750 0.750 0.294
Se 0.250 0.750 0.500
Se 0.750 0.250 0.500
O 0.250 0.250 0.914
O 0.750 0.750 0.086


Most stable = b)